Record 1
This record from the Open Quantum Materials Database describes an optimized crystal structure of HfSc2N3. The functional is PBE.

abc: 3.1841 3.1841 7.8054
angles: 90.00 90.00 120.00
Last column: nearest neighbours and their distance in Å.
Element x y z (fractional)
Hf 0.0000 0.0000 0.0000  6 N 2.23
Sc 0.3333 0.6667 0.3373  6 N 2.23-2.29
Sc 0.6667 0.3333 0.6627  6 N 2.23-2.29
N 0.0000 0.0000 0.5000  6 Sc 2.23
N 0.3333 0.6667 0.8376  3 Hf 2.23, 3 Sc 2.29
N 0.6667 0.3333 0.1624  3 Hf 2.23, 3 Sc 2.29

Results
The value obtained for the total DFT energy (no corrections) is -9.86 eV per atom. Its crystal system is trigonal.

***

Record 2
This record from the Open Quantum Materials Database describes an optimized crystal structure of Hf4Sc2Si3N3. The functional is PBE.

abc: 5.5275 5.5275 13.7972
angles: 101.64 101.64 60.08
Last column: nearest neighbours and their distance in Å.
Element x y z (fractional)
Hf 0.0308 0.2002 0.0941  3 N 2.23
Hf 0.1384 0.3025 0.4059  3 N 2.22-2.24
Hf 0.2002 0.0308 0.5941  3 N 2.23
Hf 0.3025 0.1384 0.9059  3 N 2.22-2.24
Hf 0.6975 0.8616 0.0941  3 N 2.22-2.24
Hf 0.7998 0.9692 0.4059  3 N 2.23
Hf 0.8616 0.6975 0.5941  3 N 2.22-2.24
Hf 0.9692 0.7998 0.9059  3 N 2.23
Sc 0.3655 0.5333 0.0947  3 N 2.24-2.25
Sc 0.4667 0.6345 0.4053  3 N 2.24-2.25
Sc 0.5333 0.3655 0.5947  3 N 2.24-2.25
Sc 0.6345 0.4667 0.9053  3 N 2.24-2.25
Si 0.0614 0.9386 0.2500  4 Hf 2.76, 2 Sc 2.86, 2 Si 3.02
Si 0.2500 0.4314 0.7497  2 Sc 2.75-2.76, 4 Hf 2.76-2.84, 2 Si 3.02-3.05
Si 0.4314 0.2500 0.2497  2 Sc 2.75-2.76, 4 Hf 2.76-2.84, 2 Si 3.02-3.05
Si 0.5686 0.7500 0.7503  2 Sc 2.75-2.76, 4 Hf 2.76-2.84, 2 Si 3.02-3.05
Si 0.7500 0.5686 0.2503  2 Sc 2.75-2.76, 4 Hf 2.76-2.84, 2 Si 3.02-3.05
Si 0.9386 0.0614 0.7500  4 Hf 2.76, 2 Sc 2.86, 2 Si 3.02
N 0.0000 0.5000 0.0000  4 Hf 2.23, 2 Sc 2.24
N 0.1632 0.6684 0.5000  4 Hf 2.22-2.24, 2 Sc 2.24-2.25
N 0.3316 0.8368 0.0000  4 Hf 2.22-2.24, 2 Sc 2.24-2.25
N 0.5000 0.0000 0.5000  4 Hf 2.23, 2 Sc 2.24
N 0.6684 0.1632 0.0000  4 Hf 2.22-2.24, 2 Sc 2.24-2.25
N 0.8368 0.3316 0.5000  4 Hf 2.22-2.24, 2 Sc 2.24-2.25

Results
The value obtained for the total DFT energy (no corrections) is -9.00 eV per atom. Its crystal system is monoclinic.

***

Record 3
This record from the Open Quantum Materials Database describes an optimized crystal structure of Hf2Sc4Si3N3. The functional is PBE.

abc: 5.5740 5.5740 13.8098
angles: 101.64 101.64 59.84
Last column: nearest neighbours and their distance in Å.
Element x y z (fractional)
Hf 0.0345 0.8573 0.5912  3 N 2.20-2.23
Hf 0.1427 0.9655 0.9088  3 N 2.20-2.23
Hf 0.8573 0.0345 0.0912  3 N 2.20-2.23
Hf 0.9655 0.1427 0.4088  3 N 2.20-2.23
Sc 0.1974 0.3621 0.0930  3 N 2.23-2.27
Sc 0.3074 0.4600 0.4071  3 N 2.22-2.27
Sc 0.3621 0.1974 0.5930  3 N 2.23-2.27
Sc 0.4600 0.3074 0.9071  3 N 2.22-2.27
Sc 0.5400 0.6926 0.0929  3 N 2.22-2.27
Sc 0.6379 0.8026 0.4070  3 N 2.23-2.27
Sc 0.6926 0.5400 0.5929  3 N 2.22-2.27
Sc 0.8026 0.6379 0.9070  3 N 2.23-2.27
Si 0.0273 0.2498 0.7493  2 Si 2.68-2.78, 2 Sc 2.73-2.74, 2 Hf 2.75
Si 0.2498 0.0273 0.2493  2 Si 2.68-2.78, 2 Sc 2.73-2.74, 2 Hf 2.75
Si 0.4501 0.5499 0.7500  4 Sc 2.76, 2 Si 2.78, 2 Hf 2.93
Si 0.5499 0.4501 0.2500  4 Sc 2.76, 2 Si 2.78, 2 Hf 2.93
Si 0.7502 0.9727 0.7507  2 Si 2.68-2.78, 2 Sc 2.73-2.74, 2 Hf 2.75
Si 0.9727 0.7502 0.2507  2 Si 2.68-2.78, 2 Sc 2.73-2.74, 2 Hf 2.75
N 0.0000 0.5000 0.5000  2 Hf 2.21, 4 Sc 2.23-2.24
N 0.1628 0.6732 0.9996  2 Hf 2.20-2.23, 4 Sc 2.22-2.27
N 0.3268 0.8372 0.5004  2 Hf 2.20-2.23, 4 Sc 2.22-2.27
N 0.5000 0.0000 0.0000  2 Hf 2.21, 4 Sc 2.23-2.24
N 0.6732 0.1628 0.4996  2 Hf 2.20-2.23, 4 Sc 2.22-2.27
N 0.8372 0.3268 0.0004  2 Hf 2.20-2.23, 4 Sc 2.22-2.27

Results
The value obtained for the total DFT energy (no corrections) is -8.43 eV per atom. Its crystal system is monoclinic.

***

Record 4
This record from the Open Quantum Materials Database describes an optimized crystal structure of Hf2Sc4Zn3N3. The functional is PBE.

abc: 5.5698 5.5698 14.5067
angles: 101.13 101.13 60.02
Last column: nearest neighbours and their distance in Å.
Element x y z (fractional)
Hf 0.0279 0.8555 0.5832  3 N 2.17-2.19
Hf 0.1445 0.9721 0.9168  3 N 2.17-2.19
Hf 0.8555 0.0279 0.0832  3 N 2.17-2.19
Hf 0.9721 0.1445 0.4168  3 N 2.17-2.19
Sc 0.1958 0.3693 0.0907  3 N 2.26-2.27
Sc 0.3079 0.4654 0.4093  3 N 2.26-2.27
Sc 0.3693 0.1958 0.5907  3 N 2.26-2.27
Sc 0.4654 0.3079 0.9093  3 N 2.26-2.27
Sc 0.5346 0.6921 0.0907  3 N 2.26-2.27
Sc 0.6307 0.8042 0.4093  3 N 2.26-2.27
Sc 0.6921 0.5346 0.5907  3 N 2.26-2.27
Sc 0.8042 0.6307 0.9093  3 N 2.26-2.27
Zn 0.0837 0.2151 0.7495  2 Zn 2.89-2.90, 2 Hf 2.89-2.90, 4 Sc 2.98-3.00
Zn 0.2151 0.0837 0.2495  2 Zn 2.89-2.90, 2 Hf 2.89-2.90, 4 Sc 2.98-3.00
Zn 0.3849 0.6151 0.7500  2 Hf 2.89, 2 Zn 2.90, 4 Sc 2.97
Zn 0.6151 0.3849 0.2500  2 Hf 2.89, 2 Zn 2.90, 4 Sc 2.97
Zn 0.7849 0.9163 0.7505  2 Zn 2.89-2.90, 2 Hf 2.89-2.90, 4 Sc 2.98-3.00
Zn 0.9163 0.7849 0.2505  2 Zn 2.89-2.90, 2 Hf 2.89-2.90, 4 Sc 2.98-3.00
N 0.0000 0.5000 0.5000  2 Hf 2.17, 4 Sc 2.27
N 0.1633 0.6732 0.0000  2 Hf 2.19, 4 Sc 2.26-2.27
N 0.3268 0.8367 0.5000  2 Hf 2.19, 4 Sc 2.26-2.27
N 0.5000 0.0000 0.0000  2 Hf 2.17, 4 Sc 2.27
N 0.6732 0.1633 0.5000  2 Hf 2.19, 4 Sc 2.26-2.27
N 0.8367 0.3268 0.0000  2 Hf 2.19, 4 Sc 2.26-2.27

Results
The value obtained for the total DFT energy (no corrections) is -7.18 eV per atom. Its crystal system is monoclinic.

***

Record 5
This record from the Open Quantum Materials Database describes an optimized crystal structure of Hf4SiSnN2. The functional is PBE.

abc: 3.2318 3.2318 13.9428
angles: 90.00 90.00 120.00
Last column: nearest neighbours and their distance in Å.
Element x y z (fractional)
Hf 0.0000 0.0000 0.1474  3 N 2.25
Hf 0.0000 0.0000 0.8526  3 N 2.25
Hf 0.6667 0.3333 0.3284  3 N 2.25
Hf 0.6667 0.3333 0.6716  3 N 2.25
Si 0.6667 0.3333 0.0000  6 Hf 2.78
Sn 0.0000 0.0000 0.5000  6 Hf 3.03, 6 Sn 3.23
N 0.3333 0.6667 0.2376  6 Hf 2.25
N 0.3333 0.6667 0.7624  6 Hf 2.25

Results
The value obtained for the total DFT energy (no corrections) is -9.31 eV per atom. Its crystal system is hexagonal.

***

Record 6
This record from the Open Quantum Materials Database describes an optimized crystal structure of Hf4Si3W2N3. The functional is PBE.

abc: 5.4825 5.4825 13.2609
angles: 101.95 101.95 60.30
Last column: nearest neighbours and their distance in Å.
Element x y z (fractional)
Hf 0.0296 0.2057 0.1006  3 N 2.19-2.24
Hf 0.1386 0.2987 0.3993  3 N 2.19-2.24
Hf 0.2057 0.0296 0.6006  3 N 2.19-2.24
Hf 0.2987 0.1386 0.8993  3 N 2.19-2.24
Hf 0.7013 0.8614 0.1007  3 N 2.19-2.24
Hf 0.7943 0.9704 0.3994  3 N 2.19-2.24
Hf 0.8614 0.7013 0.6007  3 N 2.19-2.24
Hf 0.9704 0.7943 0.8994  3 N 2.19-2.24
Si 0.1433 0.8567 0.2500  2 W 2.57, 2 Si 2.64, 4 Hf 2.79-2.80
Si 0.3019 0.4206 0.7493  2 W 2.54-2.58, 2 Si 2.63-2.64, 4 Hf 2.75-2.78
Si 0.4206 0.3019 0.2493  2 W 2.54-2.58, 2 Si 2.63-2.64, 4 Hf 2.75-2.78
Si 0.5794 0.6981 0.7507  2 W 2.54-2.58, 2 Si 2.63-2.64, 4 Hf 2.75-2.78
Si 0.6981 0.5794 0.2507  2 W 2.54-2.58, 2 Si 2.63-2.64, 4 Hf 2.75-2.78
Si 0.8567 0.1433 0.7500  2 W 2.57, 2 Si 2.64, 4 Hf 2.79-2.80
W 0.3746 0.5298 0.0899  3 N 2.21-2.23
W 0.4702 0.6254 0.4101  3 N 2.21-2.23
W 0.5298 0.3746 0.5899  3 N 2.21-2.23
W 0.6254 0.4702 0.9101  3 N 2.21-2.23
N 0.0000 0.5000 0.0000  2 W 2.21, 4 Hf 2.22-2.23
N 0.1441 0.6780 0.5000  4 Hf 2.19-2.24, 2 W 2.22-2.23
N 0.3220 0.8559 0.0000  4 Hf 2.19-2.24, 2 W 2.22-2.23
N 0.5000 0.0000 0.5000  2 W 2.21, 4 Hf 2.22-2.23
N 0.6780 0.1441 0.0000  4 Hf 2.19-2.24, 2 W 2.22-2.23
N 0.8559 0.3220 0.5000  4 Hf 2.19-2.24, 2 W 2.22-2.23

Results
The value obtained for the total DFT energy (no corrections) is -9.69 eV per atom. Its crystal system is monoclinic.

***

Record 7
This record from the Open Quantum Materials Database describes an optimized crystal structure of Y2Hf4Si3N3. The functional is PBE.

abc: 5.6616 5.6616 14.1039
angles: 101.94 101.94 59.97
Last column: nearest neighbours and their distance in Å.
Element x y z (fractional)
Y 0.0386 0.8755 0.6121  3 N 2.45
Y 0.1245 0.9614 0.8879  3 N 2.45
Y 0.8755 0.0386 0.1121  3 N 2.45
Y 0.9614 0.1245 0.3879  3 N 2.45
Hf 0.1963 0.3570 0.0875  3 N 2.22-2.24
Hf 0.2971 0.4771 0.4125  3 N 2.22-2.24
Hf 0.3570 0.1963 0.5875  3 N 2.22-2.24
Hf 0.4771 0.2971 0.9125  3 N 2.22-2.24
Hf 0.5229 0.7029 0.0875  3 N 2.22-2.24
Hf 0.6430 0.8037 0.4125  3 N 2.22-2.24
Hf 0.7029 0.5229 0.5875  3 N 2.22-2.24
Hf 0.8037 0.6430 0.9125  3 N 2.22-2.24
Si 0.0850 0.3892 0.7511  4 Hf 2.76, 4 Si 2.83-2.85
Si 0.3892 0.0850 0.2511  4 Hf 2.76, 4 Si 2.83-2.85
Si 0.4383 0.5617 0.2500  4 Hf 2.77-2.78, 4 Si 2.83-2.85
Si 0.5617 0.4383 0.7500  4 Hf 2.77-2.78, 4 Si 2.83-2.85
Si 0.6108 0.9150 0.7489  4 Hf 2.76, 4 Si 2.83-2.85
Si 0.9150 0.6108 0.2489  4 Hf 2.76, 4 Si 2.83-2.85
N 0.0000 0.5000 0.5000  4 Hf 2.22, 2 Y 2.45
N 0.1703 0.6591 0.0000  4 Hf 2.22-2.24, 2 Y 2.45
N 0.3409 0.8297 0.5000  4 Hf 2.22-2.24, 2 Y 2.45
N 0.5000 0.0000 0.0000  4 Hf 2.22, 2 Y 2.45
N 0.6591 0.1703 0.5000  4 Hf 2.22-2.24, 2 Y 2.45
N 0.8297 0.3409 0.0000  4 Hf 2.22-2.24, 2 Y 2.45

Results
The value obtained for the total DFT energy (no corrections) is -8.98 eV per atom. Its crystal system is monoclinic.

***

Record 8
This record from the Open Quantum Materials Database describes an optimized crystal structure of Y4Hf2Si3N3. The functional is PBE.

abc: 5.9013 5.9013 14.2330
angles: 102.30 102.30 60.09
Last column: nearest neighbours and their distance in Å.
Element x y z (fractional)
Y 0.0414 0.1953 0.1029  3 N 2.44-2.47
Y 0.1238 0.2993 0.3971  3 N 2.44-2.46
Y 0.1953 0.0414 0.6029  3 N 2.44-2.47
Y 0.2993 0.1238 0.8971  3 N 2.44-2.46
Y 0.7007 0.8762 0.1029  3 N 2.44-2.46
Y 0.8047 0.9586 0.3971  3 N 2.44-2.47
Y 0.8762 0.7007 0.6029  3 N 2.44-2.46
Y 0.9586 0.8047 0.8971  3 N 2.44-2.47
Hf 0.3519 0.5266 0.0792  3 N 2.20
Hf 0.4734 0.6481 0.4208  3 N 2.20
Hf 0.5266 0.3519 0.5792  3 N 2.20
Hf 0.6481 0.4734 0.9208  3 N 2.20
Si 0.1661 0.8339 0.2500  2 Si 2.55, 2 Hf 2.77
Si 0.3352 0.4161 0.7516  2 Si 2.55, 2 Hf 2.78-2.79
Si 0.4161 0.3352 0.2516  2 Si 2.55, 2 Hf 2.78-2.79
Si 0.5839 0.6648 0.7484  2 Si 2.55, 2 Hf 2.78-2.79
Si 0.6648 0.5839 0.2484  2 Si 2.55, 2 Hf 2.78-2.79
Si 0.8339 0.1661 0.7500  2 Si 2.55, 2 Hf 2.77
N 0.0000 0.5000 0.0000  2 Hf 2.20, 4 Y 2.44-2.45
N 0.1857 0.6574 0.5000  2 Hf 2.20, 4 Y 2.44-2.47
N 0.3426 0.8143 0.0000  2 Hf 2.20, 4 Y 2.44-2.47
N 0.5000 0.0000 0.5000  2 Hf 2.20, 4 Y 2.44-2.45
N 0.6574 0.1857 0.0000  2 Hf 2.20, 4 Y 2.44-2.47
N 0.8143 0.3426 0.5000  2 Hf 2.20, 4 Y 2.44-2.47

Results
The value obtained for the total DFT energy (no corrections) is -8.40 eV per atom. Its crystal system is monoclinic.